(1)
VASP calculation (PBE) on crystalline BeInRe2 at its relaxed geometry.

Lattice parameters (Å, degrees): 2.9514 2.9514 6.8427 90.00 90.00 90.00
Sites, in units of the cell vectors:
Be (0.0000, 0.0000, 0.0000)
In (0.0000, 0.0000, 0.5000)
Re (0.5000, 0.5000, 0.1785)
Re (0.5000, 0.5000, 0.8215)

Values from the calculation:
energy above the lowest structure with this stoichiometry	227	meV per atom
ΔE_f	0.31	eV/atom
symmetry	P4/mmm, No. 123
E_tot	-7.53	eV per atom
total magnetization	0.00	μB per cell

(2)
VASP calculation (PBE) on crystalline CoSn2SbPb at its relaxed geometry.

Lattice parameters (Å, degrees): 4.9756 4.9756 5.1422 90.00 90.00 90.00
Sites, in units of the cell vectors:
Co (0.0000, 0.0000, 0.0000)
Sn (0.0000, 0.5000, 0.0000)
Sn (0.5000, 0.0000, 0.0000)
Sb (0.5000, 0.5000, 0.5000)
Pb (0.0000, 0.0000, 0.5000)

Values from the calculation:
formation energy (no corrections)	0.0869	eV per atom
symmetry	P4/mmm, No. 123
E_tot	-4.50	eV per atom
total magnetization	0.00	μB per cell

(3)
VASP calculation (PBE) on crystalline Mg3ScN at its relaxed geometry.

Lattice parameters (Å, degrees): 5.6221 5.6221 5.6221 90.00 90.00 90.00
Sites, in units of the cell vectors:
Mg (0.0000, 0.0000, 0.5000)
Mg (0.0000, 0.5000, 0.0000)
Mg (0.5000, 0.0000, 0.0000)
Sc (0.0000, 0.0000, 0.0000)
N (0.5000, 0.5000, 0.5000)

Values from the calculation:
formation energy (no corrections)	2.0673	eV per atom
energy above the lowest structure with this stoichiometry	2109	meV per atom
symmetry	Pm-3m, No. 221
E_tot	-1.82	eV per atom
total magnetization	0.00	μB per cell

(4)
VASP calculation (PBE) on crystalline TaCu2Re at its relaxed geometry.

Lattice parameters (Å, degrees): 2.6756 4.2218 5.1462 90.00 99.17 90.00
Sites, in units of the cell vectors:
Ta (0.0000, 0.0000, 0.0000)
Cu (0.5784, 0.5000, 0.2446)
Cu (0.6530, 0.0000, 0.4856)
Re (0.2392, 0.5000, 0.7166)

Values from the calculation:
energy above the lowest structure with this stoichiometry	2	meV per atom
ΔE_f	0.10	eV/atom
symmetry	Pm, No. 6
E_tot	-8.02	eV per atom
total magnetization	0.00	μB per cell